1.
! GGA-PBE Ag2AsSe, relaxed; values from VASP
! * volume: 19.699 Å³/atom
! * E: -3.243 eV per atom
&SYSTEM
  ibrav = 0, nat = 8, ntyp = 3
/
ATOMIC_SPECIES
Ag 107.87 Ag.upf
As 74.92 As.upf
Se 78.96 Se.upf
CELL_PARAMETERS angstrom
5.721 0.000 0.000
0.000 7.641 0.000
-0.031 0.000 3.605
ATOMIC_POSITIONS angstrom
Ag 1.430 1.910 0.000
Ag 1.430 5.730 0.000
Ag 4.291 1.910 0.000
Ag 4.291 5.730 0.000
As -0.015 0.000 1.803
As 2.845 3.820 1.803
Se -0.015 3.820 1.803
Se 2.845 0.000 1.803

---

2.
! GGA-PBE CaSiAsSe2, relaxed; values from VASP
! * ΔE to the lowest computed polymorph: 0.000 eV per atom
! * volume: 23.700 Å³/atom
&SYSTEM
  ibrav = 0, nat = 5, ntyp = 4
/
ATOMIC_SPECIES
Ca 40.08 Ca.upf
Si 28.09 Si.upf
As 74.92 As.upf
Se 78.96 Se.upf
CELL_PARAMETERS angstrom
5.009 0.000 0.000
0.000 5.009 0.000
0.000 0.000 4.724
ATOMIC_POSITIONS angstrom
Ca 0.000 0.000 0.000
Si 2.504 2.504 2.362
As 2.504 2.504 0.000
Se 0.000 2.504 2.362
Se 2.504 0.000 2.362

---

3.
! GGA-PBE KAg2PbCl8, relaxed; values from VASP
! * volume: 28.074 Å³/atom
! * E: -2.826 eV per atom
&SYSTEM
  ibrav = 0, nat = 12, ntyp = 4
/
ATOMIC_SPECIES
K 39.10 K.upf
Ag 107.87 Ag.upf
Pb 207.20 Pb.upf
Cl 35.45 Cl.upf
CELL_PARAMETERS angstrom
-3.638 3.638 6.363
3.638 -3.638 6.363
3.638 3.638 -6.363
ATOMIC_POSITIONS angstrom
K 0.000 0.000 0.000
Ag 0.000 0.000 6.363
Ag 0.000 3.638 3.182
Pb 3.638 0.000 3.182
Cl 4.797 2.186 -3.466
Cl 3.226 1.325 0.206
Cl -1.159 1.452 2.897
Cl 2.313 -0.413 6.157
Cl 1.325 4.051 -0.206
Cl 2.186 2.480 3.466
Cl 0.413 2.313 6.570
Cl 1.452 1.159 9.829

---

4.
! GGA-PBE ScNbO3, relaxed; values from VASP
! * volume: 12.327 Å³/atom
! * E: -7.942 eV per atom
&SYSTEM
  ibrav = 0, nat = 5, ntyp = 3
/
ATOMIC_SPECIES
Sc 44.96 Sc.upf
Nb 92.91 Nb.upf
O 16.00 O.upf
CELL_PARAMETERS angstrom
3.950 0.000 0.000
0.000 3.950 0.000
0.000 0.000 3.950
ATOMIC_POSITIONS angstrom
Sc 0.000 0.000 0.000
Nb 1.975 1.975 1.975
O 0.000 0.000 1.975
O 0.000 1.975 0.000
O 1.975 0.000 0.000

---

5.
! GGA-PBE Nd4Ni2Cl5, relaxed; values from VASP
! * volume: 25.361 Å³/atom
! * E: -4.557 eV per atom
&SYSTEM
  ibrav = 0, nat = 11, ntyp = 3
/
ATOMIC_SPECIES
Nd 144.24 Nd.upf
Ni 58.69 Ni.upf
Cl 35.45 Cl.upf
CELL_PARAMETERS angstrom
-1.849 4.314 8.743
1.849 -4.314 8.743
1.849 4.314 -8.743
ATOMIC_POSITIONS angstrom
Nd 0.000 0.000 2.854
Nd 1.849 1.844 0.000
Nd 0.000 2.470 8.743
Nd 0.000 0.000 14.632
Ni 0.000 0.000 5.496
Ni 0.000 0.000 11.989
Cl 1.849 2.232 -2.848
Cl 1.849 2.232 2.848
Cl 0.000 4.314 0.000
Cl 0.000 2.082 5.895
Cl 0.000 2.082 11.591

---

6.
! GGA-PBE PIr2, relaxed; values from VASP
! * E_form: -0.030 eV/atom
! * volume: 14.536 Å³/atom
&SYSTEM
  ibrav = 0, nat = 12, ntyp = 2
/
ATOMIC_SPECIES
P 30.97 P.upf
Ir 192.22 Ir.upf
CELL_PARAMETERS angstrom
2.806 0.000 0.000
0.000 17.705 0.000
0.000 0.000 3.511
ATOMIC_POSITIONS angstrom
P 0.000 2.033 0.878
P 0.000 15.672 2.633
P 1.403 6.819 2.633
P 1.403 10.885 0.878
Ir 0.000 3.605 2.633
Ir 0.000 7.743 0.878
Ir 0.000 9.962 2.633
Ir 0.000 14.099 0.878
Ir 1.403 1.109 2.633
Ir 1.403 5.247 0.878
Ir 1.403 12.458 2.633
Ir 1.403 16.595 0.878

---

> Among the records above, which one has the lowest volume?

ScNbO3